# SrFeP2

Crystalline SrFeP2 at its relaxed geometry (GGA-PBE, Alexandria via LeMat-Bulk).

```
data_SrFeP2
_space_group_name_H-M_alt 'F -4 3 m'
_space_group_IT_number 216
_space_group_name_Hall 'F -4 2 3'
_cell_length_a 6.700
_cell_length_b 6.700
_cell_length_c 6.700
_cell_angle_alpha 90.00
_cell_angle_beta 90.00
_cell_angle_gamma 90.00
loop_
_atom_site_label
_atom_site_type_symbol
_atom_site_fract_x
_atom_site_fract_y
_atom_site_fract_z
_atom_site_occupancy
Sr1 Sr 0.000 0.000 0.000 1
Fe1 Fe 0.250 0.250 0.750 1
P1 P 0.000 0.000 0.500 1
P2 P 0.250 0.250 0.250 1
```

Calculated formation energy ... 470 meV/atom
Distance to the lowest polymorph of the same formula ... 1067 meV/atom
VASP energy ... -76.3 eV/cell
V ... 300.7 Å³/cell
Calculated density ... 4.54 g/cm3
Spin magnetization ... 11.0 Bohr magnetons per cell